# Be3Tc2 | Alexandria | PBE-GGA | optimized geometry
data_Be3Tc2
_chemical_formula_sum 'Be12 Tc8'
_space_group_name_H-M_alt 'C m c e'
_space_group_IT_number 64
_space_group_name_Hall '-C 2ac 2'
_cell_length_a 4.501
_cell_length_b 7.709
_cell_length_c 5.936
_cell_angle_alpha 90.00
_cell_angle_beta 90.00
_cell_angle_gamma 90.00
loop_
_atom_site_label
_atom_site_fract_x
_atom_site_fract_y
_atom_site_fract_z
Be1 0.000 0.000 0.000
Be2 0.250 0.094 0.250
Tc1 0.000 0.164 0.598
# E above lowest polymorph (meV/atom): 51.0